# 1
! PBE-GGA Pr4HoEr3, optimized geometry; values from VASP
&SYSTEM
  ibrav = 0, nat = 16, ntyp = 3
/
ATOMIC_SPECIES
Pr 140.91 Pr.upf
Ho 164.93 Ho.upf
Er 167.26 Er.upf
CELL_PARAMETERS angstrom
5.1190 0.0000 0.0000
0.0000 10.2372 0.0000
0.0000 0.0000 10.1932
ATOMIC_POSITIONS angstrom
Pr 1.2798 10.2364 1.3296
Pr 1.2798 2.5593 8.8613
Pr 1.2798 5.1193 1.3296
Pr 1.2798 7.6779 8.8625
Pr 3.8393 0.0007 8.8637
Pr 3.8393 2.5593 1.3307
Pr 3.8393 5.1178 8.8637
Pr 3.8393 7.6779 1.3319
Ho 1.2798 2.5593 3.8919
Ho 3.8393 7.6779 6.3013
Er 1.2798 10.2368 6.3011
Er 1.2798 5.1190 6.3011
Er 1.2798 7.6779 3.8900
Er 3.8393 0.0004 3.8922
Er 3.8393 2.5593 6.3033
Er 3.8393 5.1182 3.8922
! - Energy relative to the elements: 0.03 eV per atom
! - Symmetry: No. 59
! - Total magnetization: 0.00 μB per formula unit

---

# 2
! PBE-GGA Y4CuRh, optimized geometry; values from VASP
&SYSTEM
  ibrav = 0, nat = 12, ntyp = 3
/
ATOMIC_SPECIES
Y 88.91 Y.upf
Cu 63.55 Cu.upf
Rh 102.91 Rh.upf
CELL_PARAMETERS angstrom
-4.7025 4.7025 4.0267
4.7025 -4.7025 4.0267
4.7025 4.7025 -4.0267
ATOMIC_POSITIONS angstrom
Y 0.0000 1.9010 0.0000
Y 2.7846 0.0000 1.9361
Y 6.6203 0.0000 1.9361
Y 4.7025 2.7846 -0.0772
Y 0.0000 1.9179 3.9494
Y -1.9010 4.7025 2.0133
Y 1.9010 4.7025 2.0133
Y 0.0000 7.5040 0.0000
Cu 4.7025 0.0000 3.9998
Cu 0.0000 0.0000 6.0132
Rh 0.0000 0.0000 1.9758
Rh 0.0000 4.7025 3.9892
! - Energy relative to the elements: -0.23 eV per atom
! - Energy relative to the lowest polymorph listed for this composition: 0.0 meV per atom
! - Symmetry: No. 109
! - Total magnetization: 0.00 μB per formula unit